1.
A geometry-optimized ErAgSnAu structure, computed with GGA-PBE.

a b c (Å): 4.9516 4.9516 4.9516
angles (deg): 60.00 60.00 60.00
Fractional coordinates of all 4 atoms:
1 Au 0.0000 0.0000 0.0000
2 Er 0.7500 0.7500 0.7500
3 Sn 0.2500 0.2500 0.2500
4 Ag 0.5000 0.5000 0.5000

Properties
The calculation puts the magnetic moment at 0.00 μB per formula unit. The density comes out at 11.4 Mg/m³. Its uncorrected energy is -4.19 eV/atom. As for the space group: F-43m (216).

2.
A geometry-optimized SrErAgAu structure, computed with GGA-PBE.

a b c (Å): 5.2463 5.2463 5.2463
angles (deg): 60.00 60.00 60.00
Fractional coordinates of all 4 atoms:
1 Er 0.5000 0.5000 0.5000
2 Ag 0.2500 0.2500 0.2500
3 Au 0.7500 0.7500 0.7500
4 Sr 0.0000 0.0000 0.0000

Properties
The calculation puts the magnetic moment at 0.00 μB per formula unit. The density comes out at 9.1 Mg/m³. Its uncorrected energy is -3.55 eV/atom. As for the space group: F-43m (216).

3.
A geometry-optimized TbErAgAu structure, computed with GGA-PBE.

a b c (Å): 3.5898 3.5898 7.2850
angles (deg): 90.00 90.00 90.00
Fractional coordinates of all 4 atoms:
1 Ag 0.0000 0.0000 0.8652
2 Tb 0.5000 0.5000 0.6018
3 Au 0.0000 0.0000 0.3485
4 Er 0.5000 0.5000 0.1124

Properties
The calculation puts the magnetic moment at 0.00 μB per formula unit. The density comes out at 11.2 Mg/m³. The energy above the most stable polymorph in this dataset comes out at 0.000 eV per atom. As for the space group: P4mm (99).

4.
A geometry-optimized TbErAgAu structure, computed with GGA-PBE.

a b c (Å): 5.1002 5.1002 5.1002
angles (deg): 60.00 60.00 60.00
Fractional coordinates of all 4 atoms:
1 Au 0.7500 0.7500 0.7500
2 Tb 0.0000 0.0000 0.0000
3 Ag 0.2500 0.2500 0.2500
4 Er 0.5000 0.5000 0.5000

Properties
The calculation puts the magnetic moment at 0.00 μB per formula unit. The density comes out at 11.2 Mg/m³. The energy above the most stable polymorph in this dataset comes out at 0.006 eV per atom. As for the space group: F-43m (216).